VASP calculation (GGA-PBE) on Nd2ThTl9 after structural relaxation.

Lattice parameters (Å, degrees): 4.821 4.821 14.477 90.00 90.00 90.00
Fractional coordinates of all 12 atoms:
Nd1 0.000 0.000 0.167
Nd2 0.000 0.000 0.833
Th1 0.000 0.000 0.500
Tl1 0.000 0.500 0.000
Tl2 0.000 0.500 0.332
Tl3 0.000 0.500 0.668
Tl4 0.500 0.000 0.000
Tl5 0.500 0.000 0.332
Tl6 0.500 0.000 0.668
Tl7 0.500 0.500 0.165
Tl8 0.500 0.500 0.500
Tl9 0.500 0.500 0.835

Results
Final energy = -41.46 eV for the cell shown
Density = 11.647 g/cm3